A relaxed structure of ErInCo2. Source: the Alexandria database, functional PBE.

Unit cell a=4.3915 b=4.3915 c=3.3838 alpha=90.00 beta=90.00 gamma=90.00
Last column: nearest neighbours and their distance in Å.
Fractional positions:
Er  0.0000  0.0000  0.0000  8 Co 2.77
In  0.5000  0.5000  0.0000  8 Co 2.77
Co  0.0000  0.5000  0.5000  4 In 2.77, 4 Er 2.77
Co  0.5000  0.0000  0.5000  4 In 2.77, 4 Er 2.77

Values from the calculation:
Calculated formation energy (meV/atom): -104
Total moment (μB/atom): 0.000